(1)
TlMoAu2 | GGA-PBEsol | relaxed

Cell: 6.626 6.626 6.626 Å, 90.00 90.00 90.00°
Space group Fm-3m (No. 225)
One atom of each set of equivalent atoms:
Tl 0.000 0.000 0.000 (multiplicity 4)
Mo 0.000 0.000 0.500 (multiplicity 4)
Au 0.250 0.250 0.250 (multiplicity 8)

Summary:
- spin magnetization (μB per atom) = 0.56
- DOS(E_F) (states/eV per atom) = 0.651
- calculated formation energy (meV per atom) = 555
- VASP energy (eV/atom) = -5.01

=====

(2)
TlMoAu2 | GGA-PBEsol | relaxed

Cell: 2.920 5.078 9.772 Å, 90.00 90.00 90.00°
Space group Imm2 (No. 44)
One atom of each set of equivalent atoms:
Tl 0.000 0.000 0.000 (multiplicity 2)
Mo 0.000 0.500 0.755 (multiplicity 2)
Au 0.000 0.000 0.494 (multiplicity 2)
Au 0.000 0.500 0.244 (multiplicity 2)

Summary:
- spin magnetization (μB per atom) = 0.19
- DOS(E_F) (states/eV per atom) = 0.651
- calculated formation energy (meV per atom) = 458
- VASP energy (eV/atom) = -5.10